Below is a relaxed structure of NaOsSO, with properties calculated at the PBE-GGA level.

a b c (Å): 6.399 6.849 5.623
angles (deg): 90.00 106.29 90.00
Positions (direct):
Na  0.112  0.795  0.033
Na  0.888  0.295  0.467
Na  0.112  0.705  0.533
Na  0.888  0.205  0.967
O  0.624  0.353  0.100
O  0.376  0.853  0.400
O  0.624  0.147  0.600
O  0.376  0.647  0.900
Os  0.479  0.096  0.217
Os  0.521  0.596  0.283
Os  0.479  0.404  0.717
Os  0.521  0.904  0.783
S  0.736  0.861  0.188
S  0.264  0.361  0.312
S  0.736  0.639  0.688
S  0.264  0.139  0.812

Calculated values
Calculated total energy (eV per atom): -5.995
SG: P2_1/c, No. 14

=====

Below is a relaxed structure of NaOsSO, with properties calculated at the PBE-GGA level.

a b c (Å): 5.090 5.326 9.800
angles (deg): 103.24 90.00 90.00
Positions (direct):
Na  0.862  0.915  0.275
Na  0.429  0.350  0.417
Na  0.929  0.650  0.583
Na  0.362  0.085  0.725
O  0.817  0.616  0.023
O  0.856  0.116  0.051
O  0.356  0.884  0.949
O  0.317  0.384  0.977
Os  0.243  0.138  0.122
Os  0.594  0.440  0.135
Os  0.094  0.560  0.865
Os  0.743  0.862  0.878
S  0.368  0.835  0.249
S  0.932  0.418  0.303
S  0.432  0.582  0.697
S  0.868  0.165  0.751

Calculated values
Calculated total energy (eV per atom): -5.886
SG: P2_1, No. 4

=====

Below is a relaxed structure of NaOsSO, with properties calculated at the PBE-GGA level.

a b c (Å): 3.569 3.569 8.457
angles (deg): 90.00 90.00 90.00
Positions (direct):
Na  0.750  0.250  0.500
Na  0.250  0.750  0.500
O  0.750  0.250  0.000
O  0.250  0.750  0.000
Os  0.250  0.250  0.148
Os  0.750  0.750  0.852
S  0.750  0.750  0.264
S  0.250  0.250  0.736

Calculated values
Calculated total energy (eV per atom): -5.186
SG: P4/nmm, No. 129

=====

Below is a relaxed structure of NaOsSO, with properties calculated at the PBE-GGA level.

a b c (Å): 3.547 6.411 5.600
angles (deg): 90.00 90.00 90.00
Positions (direct):
Na  0.000  0.403  0.101
Na  0.000  0.597  0.601
O  0.500  0.231  0.218
O  0.500  0.769  0.718
Os  0.500  0.023  0.487
Os  0.500  0.977  0.987
S  0.000  0.832  0.185
S  0.000  0.168  0.685

Calculated values
Calculated total energy (eV per atom): -5.991
SG: Pmc2_1, No. 26

=====

Below is a relaxed structure of Na2ScOsO6, with properties calculated at the PBE-GGA level.

a b c (Å): 5.520 5.520 5.520
angles (deg): 120.81 120.81 88.60
Positions (direct):
Na  0.750  0.250  0.500
Na  0.250  0.750  0.500
O  0.239  0.239  0.000
O  0.761  0.761  0.000
O  0.294  0.818  0.112
O  0.182  0.294  0.476
O  0.818  0.706  0.524
O  0.706  0.182  0.888
Os  0.000  0.000  0.000
Sc  0.500  0.500  0.000

Calculated values
Calculated total energy (eV per atom): -6.872
SG: I4/m, No. 87

=====

Below is a relaxed structure of Na2ScOsO6, with properties calculated at the PBE-GGA level.

a b c (Å): 5.398 5.398 9.667
angles (deg): 90.00 90.00 120.00
Positions (direct):
Na  0.667  0.333  0.053
Na  0.667  0.333  0.447
Na  0.333  0.667  0.553
Na  0.333  0.667  0.947
O  0.293  0.361  0.137
O  0.067  0.707  0.137
O  0.639  0.933  0.137
O  0.067  0.361  0.363
O  0.639  0.707  0.363
O  0.293  0.933  0.363
O  0.707  0.067  0.637
O  0.361  0.293  0.637
O  0.933  0.639  0.637
O  0.361  0.067  0.863
O  0.933  0.293  0.863
O  0.707  0.639  0.863
Os  0.333  0.667  0.250
Os  0.667  0.333  0.750
Sc  0.000  0.000  0.250
Sc  0.000  0.000  0.750

Calculated values
Calculated total energy (eV per atom): -6.814
SG: P-31c, No. 163

=====

Below is a relaxed structure of Na2SnOsO6, with properties calculated at the PBE-GGA level.

a b c (Å): 5.562 5.562 5.562
angles (deg): 60.00 60.00 60.00
Positions (direct):
Na  0.250  0.250  0.250
Na  0.750  0.750  0.750
O  0.243  0.757  0.243
O  0.757  0.243  0.243
O  0.757  0.757  0.243
O  0.243  0.243  0.757
O  0.757  0.243  0.757
O  0.243  0.757  0.757
Os  0.000  0.000  0.000
Sn  0.500  0.500  0.500

Calculated values
Calculated total energy (eV per atom): -6.074
SG: Fm-3m, No. 225

=====

Below is a relaxed structure of NaSr2OsO6, with properties calculated at the PBE-GGA level.

a b c (Å): 5.681 5.809 9.863
angles (deg): 90.00 125.14 90.00
Positions (direct):
Na  0.500  0.000  0.000
Na  0.500  0.500  0.500
O  0.771  0.313  0.040
O  0.866  0.767  0.048
O  0.311  0.476  0.227
O  0.689  0.976  0.273
O  0.134  0.267  0.452
O  0.229  0.813  0.460
O  0.771  0.187  0.540
O  0.866  0.733  0.548
O  0.311  0.024  0.727
O  0.689  0.524  0.773
O  0.134  0.233  0.952
O  0.229  0.687  0.960
Os  0.000  0.500  0.000
Os  0.000  0.000  0.500
Sr  0.759  0.549  0.248
Sr  0.241  0.049  0.252
Sr  0.759  0.951  0.748
Sr  0.241  0.451  0.752

Calculated values
Calculated total energy (eV per atom): -6.532
SG: P2_1/c, No. 14

=====

Below is a relaxed structure of NaTeOsO, with properties calculated at the PBE-GGA level.

a b c (Å): 3.740 3.740 9.498
angles (deg): 90.00 90.00 90.00
Positions (direct):
Na  0.750  0.250  0.500
Na  0.250  0.750  0.500
O  0.750  0.250  0.000
O  0.250  0.750  0.000
Os  0.250  0.250  0.131
Os  0.750  0.750  0.869
Te  0.750  0.750  0.248
Te  0.250  0.250  0.752

Calculated values
Calculated total energy (eV per atom): -4.861
SG: P4/nmm, No. 129

=====

Below is a relaxed structure of Na2TeOsO6, with properties calculated at the PBE-GGA level.

a b c (Å): 5.655 5.655 5.655
angles (deg): 60.00 60.00 60.00
Positions (direct):
Na  0.250  0.250  0.250
Na  0.750  0.750  0.750
O  0.759  0.241  0.241
O  0.241  0.759  0.241
O  0.759  0.759  0.241
O  0.241  0.241  0.759
O  0.759  0.241  0.759
O  0.241  0.759  0.759
Os  0.000  0.000  0.000
Te  0.500  0.500  0.500

Calculated values
Calculated total energy (eV per atom): -5.768
SG: Fm-3m, No. 225

=====

Below is a relaxed structure of NaTeOsO, with properties calculated at the PBE-GGA level.

a b c (Å): 3.924 6.945 5.784
angles (deg): 90.00 90.00 90.00
Positions (direct):
Na  0.000  0.357  0.181
Na  0.000  0.643  0.681
O  0.500  0.203  0.188
O  0.500  0.797  0.688
Os  0.500  0.000  0.437
Os  0.500  0.000  0.937
Te  0.000  0.816  0.185
Te  0.000  0.184  0.685

Calculated values
Calculated total energy (eV per atom): -5.639
SG: Pmc2_1, No. 26

=====

Below is a relaxed structure of Na2TeOsO6, with properties calculated at the PBE-GGA level.

a b c (Å): 5.398 5.506 9.393
angles (deg): 90.00 124.87 90.00
Positions (direct):
Na  0.238  0.948  0.250
Na  0.762  0.448  0.250
Na  0.238  0.552  0.750
Na  0.762  0.052  0.750
O  0.754  0.694  0.053
O  0.865  0.202  0.053
O  0.347  0.531  0.245
O  0.653  0.031  0.255
O  0.135  0.702  0.447
O  0.246  0.194  0.447
O  0.754  0.806  0.553
O  0.865  0.298  0.553
O  0.347  0.969  0.745
O  0.653  0.469  0.755
O  0.135  0.798  0.947
O  0.246  0.306  0.947
Os  0.000  0.500  0.000
Os  0.000  0.000  0.500
Te  0.500  0.000  0.000
Te  0.500  0.500  0.500

Calculated values
Calculated total energy (eV per atom): -5.853
SG: P2_1/c, No. 14

=====

Below is a relaxed structure of Na2ZnOsO6, with properties calculated at the PBE-GGA level.

a b c (Å): 5.515 5.515 5.515
angles (deg): 60.00 60.00 60.00
Positions (direct):
Na  0.250  0.250  0.250
Na  0.750  0.750  0.750
O  0.762  0.238  0.238
O  0.238  0.762  0.238
O  0.762  0.762  0.238
O  0.238  0.238  0.762
O  0.762  0.238  0.762
O  0.238  0.762  0.762
Os  0.000  0.000  0.000
Zn  0.500  0.500  0.500

Calculated values
Calculated total energy (eV per atom): -5.706
SG: Fm-3m, No. 225

=====

Below is a relaxed structure of Na3Zn2OsO6, with properties calculated at the PBE-GGA level.

a b c (Å): 5.366 5.366 5.577
angles (deg): 99.25 99.25 119.94
Positions (direct):
Na  0.827  0.173  0.500
Na  0.500  0.500  0.500
Na  0.173  0.827  0.500
O  0.758  0.758  0.208
O  0.381  0.069  0.208
O  0.069  0.381  0.208
O  0.931  0.619  0.792
O  0.619  0.931  0.792
O  0.242  0.242  0.792
Os  0.000  0.000  0.000
Zn  0.666  0.334  0.000
Zn  0.334  0.666  0.000

Calculated values
Calculated total energy (eV per atom): -5.323
SG: C2/m, No. 12

=====

Below is a relaxed structure of Na2ZrOsO6, with properties calculated at the PBE-GGA level.

a b c (Å): 5.612 5.612 5.612
angles (deg): 60.00 60.00 60.00
Positions (direct):
Na  0.250  0.250  0.250
Na  0.750  0.750  0.750
O  0.760  0.240  0.240
O  0.240  0.760  0.240
O  0.761  0.761  0.239
O  0.240  0.240  0.760
O  0.761  0.239  0.761
O  0.239  0.761  0.761
Os  0.000  0.000  0.000
Zr  0.500  0.500  0.500

Calculated values
Calculated total energy (eV per atom): -7.150
SG: Fm-3m, No. 225

=====

Below is a relaxed structure of NaPPdO, with properties calculated at the PBE-GGA level.

a b c (Å): 5.581 3.313 7.101
angles (deg): 90.00 92.96 90.00
Positions (direct):
Na  0.001  0.000  0.362
Na  0.508  0.000  0.639
O  0.754  0.500  0.497
O  0.254  0.500  0.502
P  0.424  0.000  0.062
P  0.067  0.000  0.939
Pd  0.492  0.500  0.276
Pd  0.009  0.500  0.723

Calculated values
Calculated total energy (eV per atom): -4.769
SG: Pm, No. 6

=====

Below is a relaxed structure of Na4P2PdO8, with properties calculated at the PBE-GGA level.

a b c (Å): 5.496 5.569 6.346
angles (deg): 88.20 86.36 78.03
Positions (direct):
Na  0.353  0.327  0.136
Na  0.260  0.761  0.496
Na  0.740  0.239  0.504
Na  0.647  0.673  0.864
O  0.051  0.684  0.183
O  0.681  0.006  0.185
O  0.621  0.569  0.265
O  0.191  0.205  0.464
O  0.809  0.795  0.536
O  0.379  0.431  0.735
O  0.319  0.994  0.815
O  0.949  0.316  0.817
P  0.784  0.752  0.303
P  0.216  0.248  0.697
Pd  0.000  0.000  0.000

Calculated values
Calculated total energy (eV per atom): -6.018
SG: P-1, No. 2

=====

Below is a relaxed structure of NaPPdO, with properties calculated at the PBE-GGA level.

a b c (Å): 3.794 6.145 6.329
angles (deg): 90.00 90.00 90.00
Positions (direct):
Na  0.000  0.350  0.066
Na  0.000  0.650  0.566
O  0.000  0.310  0.421
O  0.000  0.690  0.921
P  0.500  0.880  0.308
P  0.500  0.120  0.808
Pd  0.500  0.213  0.458
Pd  0.500  0.787  0.958

Calculated values
Calculated total energy (eV per atom): -4.498
SG: Pmc2_1, No. 26